# SrVIr2 (PBE, optimized geometry)
data_SrVIr2
_chemical_formula_sum 'Sr4 V4 Ir8'
_space_group_name_H-M_alt 'I -4 2 d'
_space_group_IT_number 122
_space_group_name_Hall 'I -4 2bw'
_cell_length_a 7.350
_cell_length_b 7.350
_cell_length_c 6.150
_cell_angle_alpha 90.00
_cell_angle_beta 90.00
_cell_angle_gamma 90.00
loop_
_atom_site_label
_atom_site_fract_x
_atom_site_fract_y
_atom_site_fract_z
Sr1 0.000 0.000 0.000
V1 0.000 0.000 0.500
Ir1 0.176 0.750 0.625
# E_form: 0.231 eV/atom
# Spin magnetization: 0.0 μB/f.u.

# Sr3VIr (PBE, optimized geometry)
data_Sr3VIr
_chemical_formula_sum 'Sr3 V1 Ir1'
_space_group_name_H-M_alt 'P m -3 m'
_space_group_IT_number 221
_space_group_name_Hall '-P 4 2 3'
_cell_length_a 5.793
_cell_length_b 5.793
_cell_length_c 5.793
_cell_angle_alpha 90.00
_cell_angle_beta 90.00
_cell_angle_gamma 90.00
loop_
_atom_site_label
_atom_site_fract_x
_atom_site_fract_y
_atom_site_fract_z
Sr1 0.000 0.000 0.500
V1 0.500 0.500 0.500
Ir1 0.000 0.000 0.000
# E_form: 0.499 eV/atom
# Spin magnetization: 4.7 μB/f.u.

# Sr2VIr2 (PBE, optimized geometry)
data_Sr2VIr2
_chemical_formula_sum 'Sr4 V2 Ir4'
_space_group_name_H-M_alt 'P 4/m b m'
_space_group_IT_number 127
_space_group_name_Hall '-P 4 2ab'
_cell_length_a 6.669
_cell_length_b 6.669
_cell_length_c 5.081
_cell_angle_alpha 90.00
_cell_angle_beta 90.00
_cell_angle_gamma 90.00
loop_
_atom_site_label
_atom_site_fract_x
_atom_site_fract_y
_atom_site_fract_z
Sr1 0.178 0.322 0.000
V1 0.000 0.000 0.500
Ir1 0.134 0.634 0.500
# E_form: -0.005 eV/atom
# Spin magnetization: 1.0 μB/f.u.

The records above yield density values of 10.456; 4.323; 8.973 g/cm3, respectively.
The records above yield total DFT energy (no corrections) values of -110.39; -20.53; -60.46 eV for the cell shown, respectively.